GdHoSiHg | GGA-PBE | relaxed

abc: 7.254 7.254 7.254
angles: 90.00 90.00 90.00
Space group F-43m (No. 216)
Inequivalent atoms, fractional coordinates:
Gd1 0.000 0.000 0.000 (multiplicity 4)
Ho1 0.000 0.000 0.500 (multiplicity 4)
Si1 0.250 0.250 0.250 (multiplicity 4)
Hg1 0.250 0.250 0.750 (multiplicity 4)

Properties
* DOS(E_F): 12.40 states/eV per cell
* formation energy (no corrections): -0.47 eV per atom

---

SmGdHoHg | GGA-PBE | relaxed

abc: 7.710 7.710 7.710
angles: 90.00 90.00 90.00
Space group F-43m (No. 216)
Inequivalent atoms, fractional coordinates:
Sm1 0.000 0.000 0.000 (multiplicity 4)
Gd1 0.000 0.000 0.500 (multiplicity 4)
Ho1 0.250 0.250 0.750 (multiplicity 4)
Hg1 0.250 0.250 0.250 (multiplicity 4)

Properties
* DOS(E_F): 21.35 states/eV per cell
* VASP energy: -5.99 eV per atom

---

> DOS(E_F) of number 2 (SmGdHoHg)?

21.35 states/eV per cell

---

> Which value of DOS(E_F) does entry 2 give?

21.35 states/eV per cell

---

> Which of these has the highest DOS(E_F)?

SmGdHoHg

---

> DOS(E_F) of number 2 (SmGdHoHg)?

21.35 states/eV per cell